## TaInP2Cl (PBE)

Data for an optimized crystal structure of TaInP2Cl.

Values from the calculation:
space group	P4/mmm, No. 123
density	5.22	g/cm³
ΔE_f (raw)	1.35	eV per atom

Lattice parameters (Å, degrees): 5.0520 5.0520 4.8964 90.00 90.00 90.00
Atoms (fractional coordinates):
Ta 0.0000 0.0000 0.0000
In 0.5000 0.5000 0.5000
P 0.0000 0.5000 0.5000
P 0.5000 0.0000 0.5000
Cl 0.5000 0.5000 0.0000